(1)
## RbSnO3 (PBE)

Data for a geometry-optimized RbSnO3 structure.

Cell: 5.8798 5.8798 18.4174 Å, 90.00 90.00 120.00°
Space group R-3m (No. 166, hexagonal axes)
Symmetry-distinct sites (fractional):
Rb1 0.0000 0.0000 0.1250 [6 per cell]
Sn1 0.0000 0.0000 0.3360 [6 per cell]
O1 0.0045 0.5022 0.9333 [18 per cell]

Calculated values
Size of the total moment   1.01 μB per formula unit
Electronic total energy   -5.23 eV per atom


(2)
## MgSnF5 (PBE)

Data for a geometry-optimized MgSnF5 structure.

Cell: 5.5321 10.3792 8.4068 Å, 90.00 105.27 90.00°
Space group P2_1/c (No. 14)
Symmetry-distinct sites (fractional):
Mg1 0.0217 0.0119 0.3173 [4 per cell]
Sn1 0.4486 0.2410 0.1488 [4 per cell]
F1 0.1584 0.0947 0.5353 [4 per cell]
F2 0.1619 0.1074 0.1626 [4 per cell]
F3 0.2251 0.6391 0.8153 [4 per cell]
F4 0.3068 0.5858 0.2752 [4 per cell]
F5 0.4288 0.2087 0.8933 [4 per cell]

Calculated values
Size of the total moment   0.00 μB per formula unit
Electronic total energy   -4.90 eV per atom
Distance to the lowest polymorph of the same formula   0.0 meV per atom


(3)
## LaPmSiAu (PBE)

Data for a geometry-optimized LaPmSiAu structure.

Cell: 7.4271 7.4271 7.4271 Å, 90.00 90.00 90.00°
Space group F-43m (No. 216)
Symmetry-distinct sites (fractional):
La1 0.0000 0.0000 0.0000 [4 per cell]
Pm1 0.0000 0.0000 0.5000 [4 per cell]
Si1 0.2500 0.2500 0.7500 [4 per cell]
Au1 0.2500 0.2500 0.2500 [4 per cell]

Calculated values
Size of the total moment   0.81 μB per formula unit
Electronic total energy   -5.23 eV per atom


(4)
## ThPaGaCu (PBE)

Data for a geometry-optimized ThPaGaCu structure.

Cell: 7.1335 7.1335 7.1335 Å, 90.00 90.00 90.00°
Space group F-43m (No. 216)
Symmetry-distinct sites (fractional):
Th1 0.0000 0.0000 0.0000 [4 per cell]
Pa1 0.0000 0.0000 0.5000 [4 per cell]
Ga1 0.2500 0.2500 0.7500 [4 per cell]
Cu1 0.2500 0.2500 0.2500 [4 per cell]

Calculated values
E_form   -0.039 eV per atom
Size of the total moment   0.54 μB per formula unit
Electronic total energy   -6.05 eV per atom


(5)
## TlInCl3 (PBE)

Data for a geometry-optimized TlInCl3 structure.

Cell: 5.4106 5.4106 5.4106 Å, 90.00 90.00 90.00°
Space group Pm-3m (No. 221)
Symmetry-distinct sites (fractional):
Tl1 0.0000 0.0000 0.0000 [1 per cell]
In1 0.5000 0.5000 0.5000 [1 per cell]
Cl1 0.0000 0.5000 0.5000 [3 per cell]

Calculated values
Size of the total moment   0.00 μB per formula unit
Electronic total energy   -3.08 eV per atom


(6)
## MnGa2Co2 (PBE)

Data for a geometry-optimized MnGa2Co2 structure.

Cell: 6.8405 6.8405 2.7555 Å, 90.00 90.00 90.00°
Space group P4/mbm (No. 127)
Symmetry-distinct sites (fractional):
Mn1 0.0000 0.0000 0.0000 [2 per cell]
Ga1 0.1637 0.3363 0.5000 [4 per cell]
Co1 0.1344 0.6344 0.0000 [4 per cell]

Calculated values
E_form   -0.102 eV per atom
Size of the total moment   4.55 μB per formula unit
Electronic total energy   -5.99 eV per atom
Distance to the lowest polymorph of the same formula   0.0 meV per atom


(7)
## Li3Ca6Mg (PBE)

Data for a geometry-optimized Li3Ca6Mg structure.

Cell: 10.0092 5.6675 12.2092 Å, 90.00 104.47 90.00°
Space group P2_1/m (No. 11)
Symmetry-distinct sites (fractional):
Li1 0.0446 0.2500 0.3974 [2 per cell]
Li2 0.1422 0.7500 0.2020 [2 per cell]
Li3 0.2574 0.2500 0.9811 [2 per cell]
Ca1 0.0306 0.7500 0.8999 [2 per cell]
Ca2 0.1292 0.2500 0.6829 [2 per cell]
Ca3 0.2567 0.7500 0.4896 [2 per cell]
Ca4 0.3401 0.2500 0.3088 [2 per cell]
Ca5 0.3495 0.7500 0.7954 [2 per cell]
Ca6 0.4220 0.7500 0.1039 [2 per cell]
Mg1 0.4433 0.2500 0.6090 [2 per cell]

Calculated values
E_form   0.016 eV per atom
Size of the total moment   0.00 μB per formula unit
Electronic total energy   -1.92 eV per atom
Distance to the lowest polymorph of the same formula   0.0 meV per atom


(8)
## KLi2Cd2 (PBE)

Data for a geometry-optimized KLi2Cd2 structure.

Cell: 4.6213 4.6213 13.2815 Å, 90.00 90.00 90.00°
Space group I4/mmm (No. 139)
Symmetry-distinct sites (fractional):
K1 0.0000 0.0000 0.0000 [2 per cell]
Li1 0.0000 0.5000 0.2500 [4 per cell]
Cd1 0.0000 0.0000 0.3864 [4 per cell]

Calculated values
E_form   -0.046 eV per atom
Size of the total moment   0.00 μB per formula unit
Electronic total energy   -1.40 eV per atom
Distance to the lowest polymorph of the same formula   49.6 meV per atom


(9)
## Rb2Cd4PbAu3 (PBE)

Data for a geometry-optimized Rb2Cd4PbAu3 structure.

Cell: 4.8618 4.8618 12.1884 Å, 90.00 90.00 90.00°
Space group P-4m2 (No. 115)
Symmetry-distinct sites (fractional):
Rb1 0.0000 0.5000 0.2433 [2 per cell]
Cd1 0.0000 0.0000 0.0000 [1 per cell]
Cd2 0.0000 0.5000 0.6424 [2 per cell]
Cd3 0.5000 0.5000 0.0000 [1 per cell]
Pb1 0.0000 0.0000 0.5000 [1 per cell]
Au1 0.0000 0.5000 0.8713 [2 per cell]
Au2 0.5000 0.5000 0.5000 [1 per cell]

Calculated values
E_form   -0.184 eV per atom
Size of the total moment   0.00 μB per formula unit
Electronic total energy   -2.10 eV per atom


(10)
## Ba4SrLa (PBE)

Data for a geometry-optimized Ba4SrLa structure.

Cell: 11.0954 11.0954 11.0954 Å, 90.00 90.00 90.00°
Space group F-43m (No. 216)
Symmetry-distinct sites (fractional):
Ba1 0.1240 0.1240 0.1240 [16 per cell]
Sr1 0.0000 0.0000 0.5000 [4 per cell]
La1 0.2500 0.2500 0.7500 [4 per cell]

Calculated values
E_form   0.290 eV per atom
Size of the total moment   1.90 μB per formula unit
Electronic total energy   -2.09 eV per atom


(11)
## Tm3PbS2 (PBE)

Data for a geometry-optimized Tm3PbS2 structure.

Cell: 4.3994 13.5629 9.9624 Å, 90.00 90.00 90.00°
Space group Cmcm (No. 63)
Symmetry-distinct sites (fractional):
Tm1 0.0000 0.0839 0.2500 [4 per cell]
Tm2 0.0000 0.3579 0.0561 [8 per cell]
Pb1 0.0000 0.2469 0.7500 [4 per cell]
S1 0.0000 0.0000 0.0000 [4 per cell]
S2 0.0000 0.4843 0.2500 [4 per cell]

Calculated values
Size of the total moment   0.00 μB per formula unit
Electronic total energy   -5.45 eV per atom


(12)
## AlCu6Pd (PBE)

Data for a geometry-optimized AlCu6Pd structure.

Cell: 6.9941 6.9941 7.4133 Å, 90.00 90.00 120.00°
Space group R-3 (No. 148, hexagonal axes)
Symmetry-distinct sites (fractional):
Al1 0.0000 0.0000 0.0000 [3 per cell]
Cu1 0.0051 0.2894 0.7453 [18 per cell]
Pd1 0.0000 0.0000 0.5000 [3 per cell]

Calculated values
E_form   -0.054 eV per atom
Size of the total moment   0.00 μB per formula unit
Electronic total energy   -4.24 eV per atom
Distance to the lowest polymorph of the same formula   0.0 meV per atom